(1)
The following is a DFT calculation (PBEsol) of an optimized crystal structure of Co3S4.

Final energy   -6.377 eV per atom
Total magnetization   0.00 μB per cell
DOS at the Fermi energy   10.33 states/eV/cell
Formation energy without anion corrections   -0.556 eV/atom

Cell lengths 6.466, 6.466, 6.466 Å; angles 60.00, 60.00, 60.00 degrees
Fractional positions:
Co  0.000  0.000  0.000
Co  0.000  0.000  0.500
Co  0.000  0.500  0.000
Co  0.375  0.375  0.375
Co  0.500  0.000  0.000
Co  0.625  0.625  0.625
S  0.229  0.757  0.757
S  0.243  0.243  0.243
S  0.243  0.243  0.771
S  0.243  0.771  0.243
S  0.757  0.229  0.757
S  0.757  0.757  0.229
S  0.757  0.757  0.757
S  0.771  0.243  0.243


(2)
The following is a DFT calculation (PBEsol) of an optimized crystal structure of Co2Sb2S.

Final energy   -5.656 eV per atom
Total magnetization   0.00 μB per cell
ΔE to the lowest computed polymorph   0.000 eV/f.u.
DOS at the Fermi energy   6.39 states/eV/cell
Formation energy without anion corrections   0.138 eV/atom

Cell lengths 6.888, 6.888, 3.338 Å; angles 90.00, 90.00, 90.00 degrees
Fractional positions:
Co  0.134  0.366  0.000
Co  0.366  0.866  0.000
Co  0.634  0.134  0.000
Co  0.866  0.634  0.000
Sb  0.159  0.659  0.500
Sb  0.341  0.159  0.500
Sb  0.659  0.841  0.500
Sb  0.841  0.341  0.500
S  0.000  0.000  0.000
S  0.500  0.500  0.000


(3)
The following is a DFT calculation (PBEsol) of an optimized crystal structure of CoSbS.

Final energy   -6.023 eV per atom
Total magnetization   0.00 μB per cell
Formation energy without anion corrections   -0.464 eV/atom

Cell lengths 5.753, 5.753, 5.753 Å; angles 90.00, 90.00, 90.00 degrees
Fractional positions:
Co  0.021  0.021  0.021
Co  0.479  0.979  0.521
Co  0.521  0.479  0.979
Co  0.979  0.521  0.479
Sb  0.130  0.630  0.870
Sb  0.370  0.370  0.370
Sb  0.630  0.870  0.130
Sb  0.870  0.130  0.630
S  0.124  0.876  0.376
S  0.376  0.124  0.876
S  0.624  0.624  0.624
S  0.876  0.376  0.124